{
  "formula": "Zr2BeSe",
  "functional": "PBE",
  "state": "optimized geometry",
  "e_form_raw_mev_per_atom": -247.3,
  "total_magnetization_mub_per_fu": 0.0,
  "relative_energy_mev_per_atom": 450.0,
  "energy_ev_per_atom": -6.324,
  "lattice_angstrom": [[0.000, 3.295, 3.295], [3.295, 0.000, 3.295], [3.295, 3.295, 0.000]],
  "species": ["Se", "Zr", "Zr", "Be"],
  "frac_coords": [[0.500, 0.500, 0.500], [0.750, 0.750, 0.750], [0.250, 0.250, 0.250], [0.000, 0.000, 0.000]]
}

***

{
  "formula": "ZrBeSe2",
  "functional": "PBE",
  "state": "optimized geometry",
  "e_form_raw_mev_per_atom": -487.5,
  "total_magnetization_mub_per_fu": 0.0,
  "energy_ev_per_atom": -5.298,
  "lattice_angstrom": [[3.341, -0.020, 0.000], [-0.924, 3.210, 0.000], [0.000, 0.000, 8.394]],
  "species": ["Be", "Se", "Zr", "Se"],
  "frac_coords": [[0.500, 0.500, 0.765], [0.000, 0.000, 0.867], [0.000, 0.000, 0.539], [0.500, 0.500, 0.329]]
}

***

{
  "formula": "ZrBeSe2",
  "functional": "PBE",
  "state": "optimized geometry",
  "e_form_raw_mev_per_atom": -582.3,
  "total_magnetization_mub_per_fu": 1.4,
  "energy_ev_per_atom": -5.393,
  "lattice_angstrom": [[-2.708, -4.701, 2.521], [-2.361, -1.479, -5.294], [1.369, -5.857, -2.354]],
  "species": ["Be", "Se", "Se", "Be", "Se", "Se", "Zr", "Zr"],
  "frac_coords": [[0.250, 0.750, 0.500], [0.559, 0.125, 0.250], [0.191, 0.625, 0.250], [0.500, 0.500, 0.000], [0.375, 0.441, 0.750], [0.875, 0.809, 0.750], [0.000, 0.000, 0.000], [0.750, 0.250, 0.500]]
}

***

{
  "formula": "ZrBeSe2",
  "functional": "PBE",
  "state": "optimized geometry",
  "e_form_raw_mev_per_atom": 237.3,
  "total_magnetization_mub_per_fu": 0.0,
  "energy_ev_per_atom": -4.574,
  "lattice_angstrom": [[4.725, 0.000, 0.000], [2.363, 4.092, 0.000], [2.363, 1.364, 3.858]],
  "species": ["Zr", "Se", "Se", "Be"],
  "frac_coords": [[0.250, 0.250, 0.250], [0.750, 0.750, 0.750], [0.000, 0.000, 0.000], [0.500, 0.500, 0.500]]
}

***

{
  "formula": "ZrBeSe2",
  "functional": "PBE",
  "state": "optimized geometry",
  "e_form_raw_mev_per_atom": -670.9,
  "total_magnetization_mub_per_fu": 0.0,
  "energy_ev_per_atom": -5.482,
  "lattice_angstrom": [[3.338, 0.000, 0.000], [0.000, 3.483, -0.008], [0.000, 1.485, 6.151]],
  "species": ["Be", "Zr", "Se", "Se"],
  "frac_coords": [[0.500, 0.750, 0.750], [0.500, 0.250, 0.250], [0.000, 0.844, 0.994], [0.000, 0.656, 0.506]]
}

***

{
  "formula": "Zr2BeSe",
  "functional": "PBE",
  "state": "optimized geometry",
  "e_form_raw_mev_per_atom": 184.7,
  "total_magnetization_mub_per_fu": 0.0,
  "relative_energy_mev_per_atom": 882.0,
  "energy_ev_per_atom": -5.892,
  "lattice_angstrom": [[-1.020, 5.474, -1.238], [-2.328, -1.558, -4.969], [-7.094, 1.552, -0.436]],
  "species": ["Be", "Zr", "Zr", "Se", "Zr", "Be", "Zr", "Se"],
  "frac_coords": [[0.500, 0.500, 0.000], [0.166, 0.625, 0.250], [0.875, 0.834, 0.750], [0.750, 0.250, 0.500], [0.375, 0.416, 0.750], [0.250, 0.750, 0.500], [0.584, 0.125, 0.250], [0.000, 0.000, 0.000]]
}

***

{
  "formula": "ZrBe2Se",
  "functional": "PBE",
  "state": "optimized geometry",
  "e_form_raw_mev_per_atom": -161.2,
  "total_magnetization_mub_per_fu": 0.0,
  "energy_ev_per_atom": -5.032,
  "lattice_angstrom": [[5.354, -0.001, 0.000], [3.974, 3.588, 0.000], [3.974, 1.528, 3.246]],
  "species": ["Be", "Be", "Zr", "Se"],
  "frac_coords": [[0.302, 0.302, 0.302], [0.961, 0.961, 0.961], [0.721, 0.721, 0.721], [0.515, 0.515, 0.515]]
}

***

{
  "formula": "ZrBeSe2",
  "functional": "PBE",
  "state": "optimized geometry",
  "e_form_raw_mev_per_atom": -439.1,
  "total_magnetization_mub_per_fu": 0.0,
  "energy_ev_per_atom": -5.250,
  "lattice_angstrom": [[3.376, 0.000, 0.000], [0.000, 3.376, 0.000], [0.000, 0.000, 6.260]],
  "species": ["Se", "Be", "Zr", "Se"],
  "frac_coords": [[0.000, 0.000, 0.499], [0.500, 0.500, 0.750], [0.500, 0.500, 0.250], [0.000, 0.000, 0.001]]
}

***

{
  "formula": "ZrBeSe2",
  "functional": "PBE",
  "state": "optimized geometry",
  "e_form_raw_mev_per_atom": -698.6,
  "total_magnetization_mub_per_fu": 0.0,
  "energy_ev_per_atom": -5.509,
  "lattice_angstrom": [[-2.955, -0.262, -1.822], [-2.399, -2.356, 0.904], [-4.686, 3.639, 3.748]],
  "species": ["Se", "Zr", "Se", "Be"],
  "frac_coords": [[0.513, 0.513, 0.459], [0.750, 0.750, 0.750], [0.987, 0.987, 0.041], [0.250, 0.250, 0.250]]
}

***

{
  "formula": "ZrBeSe2",
  "functional": "PBE",
  "state": "optimized geometry",
  "e_form_raw_mev_per_atom": -541.3,
  "total_magnetization_mub_per_fu": 0.0,
  "energy_ev_per_atom": -5.352,
  "lattice_angstrom": [[3.406, 0.000, 0.000], [0.000, 3.406, 0.000], [0.000, 0.000, 6.752]],
  "species": ["Se", "Be", "Zr", "Se"],
  "frac_coords": [[0.000, 0.000, 0.887], [0.500, 0.500, 0.814], [0.000, 0.000, 0.494], [0.500, 0.500, 0.305]]
}

***

{
  "formula": "Zr4BeSe",
  "functional": "PBE",
  "state": "optimized geometry",
  "e_form_raw_mev_per_atom": 538.3,
  "total_magnetization_mub_per_fu": 0.0,
  "energy_ev_per_atom": -6.362,
  "lattice_angstrom": [[0.000, 4.030, 4.030], [4.030, 0.000, 4.030], [4.030, 4.030, 0.000]],
  "species": ["Se", "Zr", "Be", "Zr", "Zr", "Zr"],
  "frac_coords": [[0.000, 0.000, 0.000], [0.377, 0.869, 0.377], [0.750, 0.750, 0.750], [0.377, 0.377, 0.377], [0.869, 0.377, 0.377], [0.377, 0.377, 0.869]]
}

***

{
  "formula": "Zr3BeSe",
  "functional": "PBE",
  "state": "optimized geometry",
  "e_form_raw_mev_per_atom": -566.7,
  "total_magnetization_mub_per_fu": 0.0,
  "relative_energy_mev_per_atom": 0.0,
  "energy_ev_per_atom": -7.138,
  "lattice_angstrom": [[-1.435, -1.953, -2.603], [-2.699, -3.014, 3.749], [-6.082, 7.845, -0.106]],
  "species": ["Be", "Zr", "Zr", "Be", "Zr", "Zr", "Zr", "Se", "Se", "Zr"],
  "frac_coords": [[0.764, 0.900, 0.527], [0.806, 0.402, 0.611], [0.194, 0.598, 0.389], [0.236, 0.100, 0.473], [0.365, 0.929, 0.731], [0.999, 0.760, 0.998], [0.001, 0.240, 0.002], [0.587, 0.546, 0.174], [0.413, 0.454, 0.826], [0.635, 0.071, 0.269]]
}

***

{
  "formula": "ZrBeSe2",
  "functional": "PBE",
  "state": "optimized geometry",
  "e_form_raw_mev_per_atom": -777.0,
  "total_magnetization_mub_per_fu": 0.0,
  "energy_ev_per_atom": -5.588,
  "lattice_angstrom": [[7.677, 0.065, -0.001], [6.061, 4.712, 0.001], [-6.877, -2.367, 2.460]],
  "species": ["Zr", "Se", "Be", "Se"],
  "frac_coords": [[0.427, 0.427, 0.000], [0.774, 0.274, 0.500], [0.289, 0.789, 0.500], [0.010, 0.010, 0.000]]
}

***

{
  "formula": "ZrBe2Se",
  "functional": "PBE",
  "state": "optimized geometry",
  "e_form_raw_mev_per_atom": 278.0,
  "total_magnetization_mub_per_fu": 0.0,
  "energy_ev_per_atom": -4.593,
  "lattice_angstrom": [[4.457, 0.000, 0.000], [2.228, 3.860, 0.000], [2.228, 1.287, 3.639]],
  "species": ["Zr", "Be", "Be", "Se"],
  "frac_coords": [[0.250, 0.250, 0.250], [0.750, 0.750, 0.750], [0.000, 0.000, 0.000], [0.500, 0.500, 0.500]]
}

***

{
  "formula": "ZrBeSe2",
  "functional": "PBE",
  "state": "optimized geometry",
  "e_form_raw_mev_per_atom": -290.7,
  "total_magnetization_mub_per_fu": 0.0,
  "energy_ev_per_atom": -5.102,
  "lattice_angstrom": [[-3.148, -1.559, -1.098], [3.332, -1.551, -0.192], [-0.944, -2.865, 6.774]],
  "species": ["Se", "Zr", "Se", "Be"],
  "frac_coords": [[0.000, 0.000, 0.962], [0.500, 0.500, 0.250], [0.000, 0.000, 0.538], [0.500, 0.500, 0.750]]
}

***

{
  "formula": "Zr2BeSe",
  "functional": "PBE",
  "state": "optimized geometry",
  "e_form_raw_mev_per_atom": -212.3,
  "total_magnetization_mub_per_fu": 0.0,
  "relative_energy_mev_per_atom": 485.0,
  "energy_ev_per_atom": -6.289,
  "lattice_angstrom": [[3.219, 0.000, 0.000], [0.000, 3.219, 0.000], [0.000, 0.000, 7.009]],
  "species": ["Be", "Zr", "Zr", "Se"],
  "frac_coords": [[0.000, 0.000, 0.543], [0.000, 0.000, 0.954], [0.500, 0.500, 0.298], [0.500, 0.500, 0.705]]
}

***

{
  "formula": "ZrBeSe2",
  "functional": "PBE",
  "state": "optimized geometry",
  "e_form_raw_mev_per_atom": -587.2,
  "total_magnetization_mub_per_fu": 0.0,
  "energy_ev_per_atom": -5.398,
  "lattice_angstrom": [[2.119, 0.000, 7.634], [-1.059, 1.835, 7.634], [-1.059, -1.835, 7.634]],
  "species": ["Zr", "Se", "Be", "Se"],
  "frac_coords": [[0.500, 0.500, 0.500], [0.091, 0.091, 0.091], [0.000, 0.000, 0.000], [0.909, 0.909, 0.909]]
}

***

{
  "formula": "Zr2BeSe",
  "functional": "PBE",
  "state": "optimized geometry",
  "e_form_raw_mev_per_atom": -184.2,
  "total_magnetization_mub_per_fu": 0.0,
  "relative_energy_mev_per_atom": 513.1,
  "energy_ev_per_atom": -6.261,
  "lattice_angstrom": [[-1.988, -0.764, 7.667], [-4.324, -2.728, 6.098], [-1.206, -3.985, 6.781]],
  "species": ["Be", "Zr", "Zr", "Se"],
  "frac_coords": [[0.518, 0.518, 0.518], [0.759, 0.759, 0.759], [0.991, 0.991, 0.991], [0.232, 0.232, 0.232]]
}

***

{
  "formula": "ZrBe2Se",
  "functional": "PBE",
  "state": "optimized geometry",
  "e_form_raw_mev_per_atom": -142.4,
  "total_magnetization_mub_per_fu": 0.0,
  "energy_ev_per_atom": -5.014,
  "lattice_angstrom": [[4.973, 0.000, 0.000], [2.214, 4.453, 0.000], [-3.594, -2.227, 2.619]],
  "species": ["Be", "Be", "Zr", "Se"],
  "frac_coords": [[0.000, 0.000, 0.000], [0.250, 0.750, 0.500], [0.750, 0.250, 0.500], [0.500, 0.500, 0.000]]
}

***

{
  "formula": "ZrBe2Se",
  "functional": "PBE",
  "state": "optimized geometry",
  "e_form_raw_mev_per_atom": 11.5,
  "total_magnetization_mub_per_fu": 0.0,
  "energy_ev_per_atom": -4.860,
  "lattice_angstrom": [[-0.684, 0.329, -3.099], [1.121, -2.968, -0.340], [-5.230, -2.081, 0.934]],
  "species": ["Zr", "Be", "Be", "Se"],
  "frac_coords": [[0.500, 0.500, 0.750], [0.000, 0.000, 0.446], [0.000, 0.000, 0.054], [0.500, 0.500, 0.250]]
}

***

{
  "formula": "ZrBe2Se",
  "functional": "PBE",
  "state": "optimized geometry",
  "e_form_raw_mev_per_atom": 2.5,
  "total_magnetization_mub_per_fu": 0.0,
  "energy_ev_per_atom": -4.869,
  "lattice_angstrom": [[3.865, 0.000, 0.000], [0.000, 3.901, 0.000], [0.000, 0.000, 3.878]],
  "species": ["Be", "Se", "Zr", "Be"],
  "frac_coords": [[0.500, 0.500, 0.000], [0.500, 0.000, 0.500], [0.000, 0.500, 0.500], [0.000, 0.000, 0.000]]
}

***

{
  "formula": "Zr2BeSe",
  "functional": "PBE",
  "state": "optimized geometry",
  "e_form_raw_mev_per_atom": -379.8,
  "total_magnetization_mub_per_fu": 0.0,
  "relative_energy_mev_per_atom": 317.5,
  "energy_ev_per_atom": -6.457,
  "lattice_angstrom": [[-0.843, 2.301, -4.042], [-3.634, -3.020, 0.131], [-1.768, 2.197, 1.620]],
  "species": ["Be", "Zr", "Zr", "Se"],
  "frac_coords": [[0.500, 0.000, 0.500], [0.000, 0.000, 0.000], [0.500, 0.500, 0.000], [0.000, 0.500, 0.500]]
}

***

{
  "formula": "Zr2BeSe",
  "functional": "PBE",
  "state": "optimized geometry",
  "e_form_raw_mev_per_atom": -657.6,
  "total_magnetization_mub_per_fu": 0.0,
  "relative_energy_mev_per_atom": 39.7,
  "energy_ev_per_atom": -6.734,
  "lattice_angstrom": [[5.307, -0.010, 0.000], [3.998, 3.490, 0.000], [0.000, 0.000, 3.697]],
  "species": ["Be", "Zr", "Zr", "Se"],
  "frac_coords": [[0.456, 0.456, 0.625], [0.019, 0.019, 0.125], [0.720, 0.720, 0.625], [0.305, 0.305, 0.125]]
}

***

{
  "formula": "ZrBe2Se",
  "functional": "PBE",
  "state": "optimized geometry",
  "e_form_raw_mev_per_atom": 57.9,
  "total_magnetization_mub_per_fu": 0.0,
  "energy_ev_per_atom": -4.813,
  "lattice_angstrom": [[-6.396, -2.583, -0.221], [1.664, -4.542, 4.922], [-3.123, -1.847, 4.190]],
  "species": ["Be", "Zr", "Be", "Be", "Se", "Be", "Zr", "Se"],
  "frac_coords": [[0.172, 0.625, 0.250], [0.750, 0.250, 0.500], [0.875, 0.828, 0.750], [0.578, 0.125, 0.250], [0.500, 0.500, 0.000], [0.375, 0.422, 0.750], [0.000, 0.000, 0.000], [0.250, 0.750, 0.500]]
}

***

{
  "formula": "Zr2BeSe",
  "functional": "PBE",
  "state": "optimized geometry",
  "e_form_raw_mev_per_atom": -573.6,
  "total_magnetization_mub_per_fu": 0.0,
  "relative_energy_mev_per_atom": 123.6,
  "energy_ev_per_atom": -6.650,
  "lattice_angstrom": [[3.784, 0.000, 0.000], [0.000, 3.784, 0.000], [0.000, 0.000, 5.280]],
  "species": ["Be", "Se", "Zr", "Zr"],
  "frac_coords": [[0.000, 0.000, 0.375], [0.500, 0.500, 0.875], [0.000, 0.000, 0.875], [0.500, 0.500, 0.375]]
}

***

{
  "formula": "Zr2BeSe",
  "functional": "PBE",
  "state": "optimized geometry",
  "e_form_raw_mev_per_atom": -697.3,
  "total_magnetization_mub_per_fu": 0.0,
  "relative_energy_mev_per_atom": 0.0,
  "energy_ev_per_atom": -6.774,
  "lattice_angstrom": [[-3.114, 1.749, -0.844], [1.219, -0.299, -5.119], [-3.978, -6.042, 2.154]],
  "species": ["Zr", "Be", "Se", "Se", "Zr", "Zr", "Be", "Zr"],
  "frac_coords": [[0.250, 0.799, 0.568], [0.750, 0.667, 0.290], [0.250, 0.361, 0.216], [0.750, 0.639, 0.784], [0.750, 0.201, 0.432], [0.250, 0.791, 0.078], [0.250, 0.333, 0.710], [0.750, 0.209, 0.922]]
}

***

{
  "formula": "Zr2BeSe",
  "functional": "PBE",
  "state": "optimized geometry",
  "e_form_raw_mev_per_atom": -390.7,
  "total_magnetization_mub_per_fu": 0.0,
  "relative_energy_mev_per_atom": 306.6,
  "energy_ev_per_atom": -6.467,
  "lattice_angstrom": [[-1.287, -3.044, 3.401], [4.544, -1.234, -0.566], [1.220, 1.707, 2.572]],
  "species": ["Zr", "Zr", "Se", "Be"],
  "frac_coords": [[0.000, 0.000, 0.000], [0.500, 0.500, 0.000], [0.000, 0.500, 0.500], [0.500, 0.000, 0.500]]
}

***

{
  "formula": "ZrBeSe2",
  "functional": "PBE",
  "state": "optimized geometry",
  "e_form_raw_mev_per_atom": -168.0,
  "total_magnetization_mub_per_fu": 0.0,
  "energy_ev_per_atom": -4.979,
  "lattice_angstrom": [[5.178, 0.008, 0.036], [-0.562, 5.148, 0.036], [1.142, 1.275, 3.068]],
  "species": ["Se", "Zr", "Se", "Be"],
  "frac_coords": [[0.000, 0.000, 0.000], [0.500, 0.000, 0.500], [0.500, 0.500, 0.000], [0.000, 0.500, 0.500]]
}

***

{
  "formula": "Zr2BeSe",
  "functional": "PBE",
  "state": "optimized geometry",
  "e_form_raw_mev_per_atom": -640.3,
  "total_magnetization_mub_per_fu": 0.0,
  "relative_energy_mev_per_atom": 57.0,
  "energy_ev_per_atom": -6.717,
  "lattice_angstrom": [[-1.821, -3.130, 0.460], [-0.141, -1.569, 3.292], [-6.060, 1.787, 2.608]],
  "species": ["Zr", "Zr", "Be", "Se"],
  "frac_coords": [[0.008, 0.008, 0.975], [0.492, 0.492, 0.525], [0.750, 0.750, 0.750], [0.250, 0.250, 0.250]]
}